Au3Se: relaxed, GGA-PBE.

Values from the calculation:
Raw total energy (eV/atom): -3.160
M_tot (μB/f.u.): 0.00
Crystal system: orthorhombic

Unit cell a=2.8561 b=4.9593 c=5.6317 alpha=90.00 beta=90.00 gamma=90.00
Closest atoms and distances in Å follow each position.
Fractional coordinates of all 4 atoms:
Au: 0.0000 0.0000 0.0000  8 Au 2.82-2.86
Au: 0.0000 0.0000 0.5000  4 Au 2.82-2.86, 4 Se 2.86
Au: 0.5000 0.5000 0.0000  2 Se 2.82, 6 Au 2.86
Se: 0.5000 0.5000 0.5000  6 Au 2.82-2.86, 2 Se 2.86

AuSe2: relaxed, GGA-PBE.

Values from the calculation:
Raw total energy (eV/atom): -2.967
M_tot (μB/f.u.): 0.00
Crystal system: orthorhombic

Unit cell a=5.3350 b=5.3350 c=5.3350 alpha=138.69 beta=138.53 gamma=59.97
Closest atoms and distances in Å follow each position.
Fractional coordinates of all 3 atoms:
Au: 0.0000 0.0000 0.0000  8 Se 2.94
Se: 0.3671 0.3671 0.0000  1 Se 2.46
Se: 0.6329 0.6329 0.0000  1 Se 2.46

AuSe: relaxed, GGA-PBE.

Values from the calculation:
Raw total energy (eV/atom): -3.107
M_tot (μB/f.u.): 0.00
Crystal system: tetragonal

Unit cell a=7.6661 b=7.6661 c=7.6661 alpha=152.06 beta=152.06 gamma=39.93
Closest atoms and distances in Å follow each position.
Fractional coordinates of all 4 atoms:
Au: 0.3750 0.6250 0.7500  4 Se 2.62
Au: 0.6250 0.3750 0.2500  4 Se 2.62
Se: 0.1250 0.8750 0.2500  4 Au 2.62
Se: 0.8750 0.1250 0.7500  4 Au 2.62

AuSe4: relaxed, GGA-PBE.

Values from the calculation:
Polymorph energy (0 for the lowest one) (eV/atom): 0.223
M_tot (μB/f.u.): 0.00
Crystal system: tetragonal

Unit cell a=6.5682 b=6.5682 c=6.5682 alpha=94.16 beta=94.16 gamma=148.74
Closest atoms and distances in Å follow each position.
Fractional coordinates of all 5 atoms:
Au: 0.0000 0.0000 0.0000  8 Se 2.91
Se: 0.2971 0.3404 0.6375  2 Se 2.54
Se: 0.3404 0.7029 0.0433  2 Se 2.54
Se: 0.6596 0.2971 0.9567  2 Se 2.54
Se: 0.7029 0.6596 0.3625  2 Se 2.54

AuSe: relaxed, GGA-PBE.

Values from the calculation:
Raw total energy (eV/atom): -3.106
M_tot (μB/f.u.): 0.00
Crystal system: tetragonal

Unit cell a=2.8330 b=2.8330 c=10.6025 alpha=90.00 beta=90.00 gamma=90.00
Closest atoms and distances in Å follow each position.
Fractional coordinates of all 4 atoms:
Au: 0.2500 0.2500 0.1051  8 Au 2.83-3.00, 4 Se 3.11
Au: 0.7500 0.7500 0.8949  8 Au 2.83-3.00, 4 Se 3.11
Se: 0.2500 0.2500 0.6702  4 Se 2.83, 4 Au 3.11
Se: 0.7500 0.7500 0.3298  4 Se 2.83, 4 Au 3.11

Au3Se: relaxed, GGA-PBE.

Values from the calculation:
Raw total energy (eV/atom): -3.044
M_tot (μB/f.u.): 0.00
Crystal system: cubic

Unit cell a=4.7610 b=4.7610 c=4.7610 alpha=60.00 beta=60.00 gamma=60.00
Closest atoms and distances in Å follow each position.
Fractional coordinates of all 4 atoms:
Au: 0.0000 0.0000 0.0000  8 Au 2.92
Au: 0.2500 0.2500 0.2500  4 Se 2.92, 4 Au 2.92
Au: 0.7500 0.7500 0.7500  4 Se 2.92, 4 Au 2.92
Se: 0.5000 0.5000 0.5000  8 Au 2.92

Record-wise calculated volume values, in Å³ per atom: 19.94 21.90 24.68 28.32 21.27 19.08